(1)
Compound: NdLuNiAg
Source: the Alexandria database
Functional: PBE-GGA
Structure: relaxed

Cell lengths 5.011, 5.011, 5.011 Å; angles 60.00, 60.00, 60.00 degrees
Sites, in units of the cell vectors:
Nd1 0.000 0.000 0.000
Lu1 0.500 0.500 0.500
Ni1 0.250 0.250 0.250
Ag1 0.750 0.750 0.750

Raw total energy: -4.7564 eV per atom
Space group: F-43m, No. 216
Total moment: 0.0 μB per cell


(2)
Compound: NdLuAgOs
Source: the Alexandria database
Functional: PBE-GGA
Structure: relaxed

Cell lengths 4.987, 4.987, 4.987 Å; angles 60.00, 60.00, 60.00 degrees
Sites, in units of the cell vectors:
Nd1 0.000 0.000 0.000
Lu1 0.500 0.500 0.500
Ag1 0.250 0.250 0.250
Os1 0.750 0.750 0.750

Raw total energy: -6.0380 eV per atom
Space group: F-43m, No. 216
Total moment: 0.0 μB per cell


(3)
Compound: NdLuAgPb
Source: the Alexandria database
Functional: PBE-GGA
Structure: relaxed

Cell lengths 5.325, 5.325, 5.325 Å; angles 60.00, 60.00, 60.00 degrees
Sites, in units of the cell vectors:
Nd1 0.000 0.000 0.000
Lu1 0.500 0.500 0.500
Ag1 0.750 0.750 0.750
Pb1 0.250 0.250 0.250

Raw total energy: -4.3258 eV per atom
Space group: F-43m, No. 216
Total moment: 0.6 μB per cell


(4)
Compound: NdLuAgPd
Source: the Alexandria database
Functional: PBE-GGA
Structure: relaxed

Cell lengths 5.088, 5.088, 5.088 Å; angles 60.00, 60.00, 60.00 degrees
Sites, in units of the cell vectors:
Nd1 0.000 0.000 0.000
Lu1 0.500 0.500 0.500
Ag1 0.250 0.250 0.250
Pd1 0.750 0.750 0.750

Raw total energy: -4.8883 eV per atom
Space group: F-43m, No. 216
Total moment: 0.0 μB per cell


(5)
Compound: PrNdLuAg
Source: the Alexandria database
Functional: PBE-GGA
Structure: relaxed

Cell lengths 5.478, 5.478, 5.478 Å; angles 60.00, 60.00, 60.00 degrees
Sites, in units of the cell vectors:
Pr1 0.000 0.000 0.000
Nd1 0.500 0.500 0.500
Lu1 0.250 0.250 0.250
Ag1 0.750 0.750 0.750

Raw total energy: -4.1884 eV per atom
Space group: F-43m, No. 216
Total moment: 0.0 μB per cell


(6)
Compound: NdLuAgPt
Source: the Alexandria database
Functional: PBE-GGA
Structure: relaxed

Cell lengths 5.064, 5.064, 5.064 Å; angles 60.00, 60.00, 60.00 degrees
Sites, in units of the cell vectors:
Nd1 0.000 0.000 0.000
Lu1 0.500 0.500 0.500
Ag1 0.750 0.750 0.750
Pt1 0.250 0.250 0.250

Raw total energy: -5.2806 eV per atom
Space group: F-43m, No. 216
Total moment: 0.0 μB per cell